The following is a DFT calculation (PBE) of a relaxed Li2Y2TmPb2 crystal.

Formation energy: -305 meV per atom
Space group: R-3m (166)
Theoretical density: 7.2 g cm⁻³

Unit cell a=9.3267 b=9.3267 c=9.3267 alpha=29.96 beta=29.96 gamma=29.96
With the nearest neighbours (Å) after each atom.
Fractional positions:
Li  0.1014  0.1014  0.1014  3 Pb 2.78
Li  0.8986  0.8986  0.8986  3 Pb 2.78
Y  0.3720  0.3720  0.3720  3 Pb 3.22, 3 Li 3.25, 1 Tm 3.42, 3 Y 3.47
Y  0.6280  0.6280  0.6280  3 Pb 3.22, 3 Li 3.25, 1 Tm 3.42, 3 Y 3.47
Tm  0.5000  0.5000  0.5000  6 Li 3.28, 6 Pb 3.32, 2 Y 3.42
Pb  0.2343  0.2343  0.2343  3 Li 2.78
Pb  0.7657  0.7657  0.7657  3 Li 2.78


The following is a DFT calculation (PBE) of a relaxed LiYTmPb crystal.

Formation energy: -257 meV per atom
Space group: F-43m (216)
Theoretical density: 7.6 g cm⁻³

Unit cell a=5.2573 b=5.2573 c=5.2573 alpha=60.00 beta=60.00 gamma=60.00
With the nearest neighbours (Å) after each atom.
Fractional positions:
Li  0.0000  0.0000  0.0000  4 Y 3.22, 4 Tm 3.22
Y  0.7500  0.7500  0.7500  4 Pb 3.22, 4 Li 3.22
Tm  0.2500  0.2500  0.2500  4 Pb 3.22, 4 Li 3.22
Pb  0.5000  0.5000  0.5000  4 Y 3.22, 4 Tm 3.22


The following is a DFT calculation (PBE) of a relaxed LiV2Pb2 crystal.

Formation energy: 350 meV per atom
Space group: P4/mbm (127)
Theoretical density: 8.4 g cm⁻³
E above lowest polymorph: 0.0 meV per atom

Unit cell a=7.8204 b=7.8204 c=3.4006 alpha=90.00 beta=90.00 gamma=90.00
With the nearest neighbours (Å) after each atom.
Fractional positions:
Li  0.0000  0.0000  0.0000  4 V 3.28, 8 Pb 3.29, 2 Li 3.40
Li  0.5000  0.5000  0.0000  4 V 3.28, 8 Pb 3.29, 2 Li 3.40
V  0.0901  0.4099  0.0000  1 V 1.99
V  0.4099  0.9099  0.0000  1 V 1.99
V  0.5901  0.0901  0.0000  1 V 1.99
V  0.9099  0.5901  0.0000  1 V 1.99
Pb  0.1996  0.6996  0.5000  6 V 2.88-2.96
Pb  0.3004  0.1996  0.5000  6 V 2.88-2.96
Pb  0.6996  0.8004  0.5000  6 V 2.88-2.96
Pb  0.8004  0.3004  0.5000  6 V 2.88-2.96


The following is a DFT calculation (PBE) of a relaxed Li3VPb crystal.

Formation energy: 686 meV per atom
Space group: Pm-3m (221)
Theoretical density: 3.7 g cm⁻³
E above lowest polymorph: 0.0 meV per atom

Unit cell a=5.0199 b=5.0199 c=5.0199 alpha=90.00 beta=90.00 gamma=90.00
With the nearest neighbours (Å) after each atom.
Fractional positions:
Li  0.0000  0.0000  0.5000  2 Pb 2.51
Li  0.0000  0.5000  0.0000  2 Pb 2.51
Li  0.5000  0.0000  0.0000  2 Pb 2.51
V  0.5000  0.5000  0.5000  12 Li 3.55
Pb  0.0000  0.0000  0.0000  6 Li 2.51


The following is a DFT calculation (PBE) of a relaxed LiVPb3 crystal.

Formation energy: 626 meV per atom
Space group: Pm-3m (221)
Theoretical density: 8.5 g cm⁻³
E above lowest polymorph: 360.8 meV per atom

Unit cell a=5.1049 b=5.1049 c=5.1049 alpha=90.00 beta=90.00 gamma=90.00
With the nearest neighbours (Å) after each atom.
Fractional positions:
Li  0.0000  0.0000  0.0000  6 Pb 2.55
V  0.5000  0.5000  0.5000  12 Pb 3.61
Pb  0.0000  0.0000  0.5000  2 Li 2.55
Pb  0.0000  0.5000  0.0000  2 Li 2.55
Pb  0.5000  0.0000  0.0000  2 Li 2.55


The following is a DFT calculation (PBE) of a relaxed LiVPb2 crystal.

Formation energy: 478 meV per atom
Space group: I-42d (122)
Theoretical density: 7.7 g cm⁻³

Unit cell a=10.0972 b=10.0972 c=10.0972 alpha=153.63 beta=153.63 gamma=37.64
With the nearest neighbours (Å) after each atom.
Fractional positions:
Li  0.0000  0.0000  0.0000  4 Pb 2.90
Li  0.7500  0.2500  0.5000  4 Pb 2.90
V  0.2500  0.7500  0.5000  4 Pb 2.89
V  0.5000  0.5000  0.0000  4 Pb 2.89
Pb  0.1272  0.6250  0.0022  2 V 2.89, 2 Li 2.90
Pb  0.3750  0.3772  0.5022  2 V 2.89, 2 Li 2.90
Pb  0.6228  0.1250  0.9978  2 V 2.89, 2 Li 2.90
Pb  0.8750  0.8728  0.4978  2 V 2.89, 2 Li 2.90


The following is a DFT calculation (PBE) of a relaxed LiV2Pb2 crystal.

Formation energy: 587 meV per atom
Space group: I4/mmm (139)
Theoretical density: 7.6 g cm⁻³
E above lowest polymorph: 236.9 meV per atom

Unit cell a=6.3059 b=6.3059 c=6.3059 alpha=137.19 beta=137.19 gamma=62.15
With the nearest neighbours (Å) after each atom.
Fractional positions:
Li  0.0000  0.0000  0.0000  8 V 3.38, 8 Pb 3.55
V  0.4153  0.4153  0.0000  1 V 1.83
V  0.5847  0.5847  0.0000  1 V 1.83
Pb  0.2500  0.7500  0.5000  4 V 2.91, 4 Pb 3.25
Pb  0.7500  0.2500  0.5000  4 V 2.91, 4 Pb 3.25


The following is a DFT calculation (PBE) of a relaxed LiVPb3 crystal.

Formation energy: 266 meV per atom
Space group: Pm-3m (221)
Theoretical density: 7.5 g cm⁻³
E above lowest polymorph: 0.0 meV per atom

Unit cell a=5.3190 b=5.3190 c=5.3190 alpha=90.00 beta=90.00 gamma=90.00
With the nearest neighbours (Å) after each atom.
Fractional positions:
Li  0.0000  0.0000  0.0000  12 Pb 3.76
V  0.5000  0.5000  0.5000  6 Pb 2.66
Pb  0.0000  0.5000  0.5000  2 V 2.66
Pb  0.5000  0.0000  0.5000  2 V 2.66
Pb  0.5000  0.5000  0.0000  2 V 2.66


The following is a DFT calculation (PBE) of a relaxed LiV2Pb crystal.

Formation energy: 774 meV per atom
Space group: I-42d (122)
Theoretical density: 7.6 g cm⁻³

Unit cell a=5.7832 b=5.7832 c=5.7832 alpha=101.17 beta=101.17 gamma=127.78
With the nearest neighbours (Å) after each atom.
Fractional positions:
Li  0.0000  0.0000  0.0000  2 Pb 2.55, 4 V 2.61
Li  0.7500  0.2500  0.5000  2 Pb 2.55, 4 V 2.61
V  0.1126  0.6250  0.9876  2 V 2.55, 2 Li 2.61, 2 Pb 2.74
V  0.3750  0.3626  0.4876  2 V 2.55, 2 Li 2.61, 2 Pb 2.74
V  0.6374  0.1250  0.0124  2 V 2.55, 2 Li 2.61, 2 Pb 2.74
V  0.8750  0.8874  0.5124  2 V 2.55, 2 Li 2.61, 2 Pb 2.74
Pb  0.2500  0.7500  0.5000  2 Li 2.55, 4 V 2.74
Pb  0.5000  0.5000  0.0000  2 Li 2.55, 4 V 2.74


The following is a DFT calculation (PBE) of a relaxed LiVPb2 crystal.

Formation energy: 471 meV per atom
Space group: R-3m (166)
Theoretical density: 7.9 g cm⁻³

Unit cell a=10.6202 b=10.6202 c=10.6202 alpha=17.96 beta=17.96 gamma=17.96
With the nearest neighbours (Å) after each atom.
Fractional positions:
Li  0.0000  0.0000  0.0000  6 Pb 3.07, 6 Li 3.32
V  0.5000  0.5000  0.5000  2 Pb 2.82
Pb  0.4101  0.4101  0.4101  1 V 2.82, 3 Li 3.07
Pb  0.5899  0.5899  0.5899  1 V 2.82, 3 Li 3.07


The following is a DFT calculation (PBE) of a relaxed LiVPb2W crystal.

Formation energy: 1584 meV per atom
Space group: P4/mmm (123)
Theoretical density: 8.5 g cm⁻³

Unit cell a=5.2676 b=5.2676 c=4.6262 alpha=90.00 beta=90.00 gamma=90.00
With the nearest neighbours (Å) after each atom.
Fractional positions:
Li  0.0000  0.0000  0.0000  2 V 2.31
V  0.0000  0.0000  0.5000  2 Li 2.31
Pb  0.0000  0.5000  0.5000  2 V 2.63
Pb  0.5000  0.0000  0.5000  2 V 2.63
W  0.5000  0.5000  0.0000  8 Pb 3.51, 4 Li 3.72


The following is a DFT calculation (PBE) of a relaxed LiY2VPb crystal.

Formation energy: 534 meV per atom
Space group: P4/mmm (123)
Theoretical density: 5.7 g cm⁻³

Unit cell a=5.2393 b=5.2393 c=4.6974 alpha=90.00 beta=90.00 gamma=90.00
With the nearest neighbours (Å) after each atom.
Fractional positions:
Li  0.0000  0.0000  0.0000  2 Pb 2.35, 4 Y 2.62
Y  0.0000  0.5000  0.0000  2 Li 2.62
Y  0.5000  0.0000  0.0000  2 Li 2.62
V  0.5000  0.5000  0.5000  8 Y 3.52, 4 Pb 3.70
Pb  0.0000  0.0000  0.5000  2 Li 2.35


What did the seventh record say?
The following is a DFT calculation (PBE) of a relaxed LiV2Pb2 crystal.

Formation energy: 587 meV per atom
Space group: I4/mmm (139)
Theoretical density: 7.6 g cm⁻³
E above lowest polymorph: 236.9 meV per atom

Unit cell a=6.3059 b=6.3059 c=6.3059 alpha=137.19 beta=137.19 gamma=62.15
With the nearest neighbours (Å) after each atom.
Fractional positions:
Li  0.0000  0.0000  0.0000  8 V 3.38, 8 Pb 3.55
V  0.4153  0.4153  0.0000  1 V 1.83
V  0.5847  0.5847  0.0000  1 V 1.83
Pb  0.2500  0.7500  0.5000  4 V 2.91, 4 Pb 3.25
Pb  0.7500  0.2500  0.5000  4 V 2.91, 4 Pb 3.25


> formation energy of number 10 (LiVPb2)?

471 meV per atom


> Number 12 is which compound?

LiY2VPb


> What is the theoretical density in the ninth record?

7.6 g cm⁻³